[1]
VASP calculation (PBE) on AcDy2Zn9 after structural relaxation. Values from VASP.

```
&SYSTEM
  ibrav = 0, nat = 12, ntyp = 3
/
ATOMIC_SPECIES
Ac 227.00 Ac.upf
Dy 162.50 Dy.upf
Zn 65.41 Zn.upf
CELL_PARAMETERS angstrom
0.101 3.993 3.893
3.021 -0.701 4.636
7.848 4.716 -1.046
ATOMIC_POSITIONS crystal
Ac 0.000 0.000 0.000
Dy 0.857 0.857 0.430
Dy 0.143 0.143 0.570
Zn 0.664 0.664 0.007
Zn 0.336 0.336 0.993
Zn 0.500 0.500 0.500
Zn 0.411 0.411 0.253
Zn 0.924 0.411 0.253
Zn 0.411 0.924 0.253
Zn 0.589 0.589 0.747
Zn 0.589 0.076 0.747
Zn 0.076 0.589 0.747
```

Results
- Crystal system: trigonal
- Formation enthalpy at 0 K: -302 meV per atom
- Total magnetization: 0.00 μB/f.u.
- N(E_F): 8.50 states/eV per cell

=====

[2]
VASP calculation (PBE) on Cs3PdO3 after structural relaxation. Values from VASP.

```
&SYSTEM
  ibrav = 0, nat = 7, ntyp = 3
/
ATOMIC_SPECIES
Cs 132.91 Cs.upf
Pd 106.42 Pd.upf
O 16.00 O.upf
CELL_PARAMETERS angstrom
-4.185 -1.055 3.151
0.413 -5.466 -4.302
5.413 0.554 4.353
ATOMIC_POSITIONS crystal
Cs 0.547 0.532 0.532
Cs 0.016 0.000 0.468
Cs 0.016 0.468 0.000
Pd 0.357 0.000 0.000
O 0.155 0.712 0.712
O 0.443 0.000 0.288
O 0.443 0.288 0.000
```

Results
- Crystal system: trigonal
- Raw formation energy: -0.84 eV/atom
- Total magnetization: 1.03 μB/f.u.
- N(E_F): 6.36 states/eV per cell

=====

[3]
VASP calculation (PBE) on CaLaTl after structural relaxation. Values from VASP.

```
&SYSTEM
  ibrav = 0, nat = 6, ntyp = 3
/
ATOMIC_SPECIES
Ca 40.08 Ca.upf
Tl 204.38 Tl.upf
La 138.91 La.upf
CELL_PARAMETERS angstrom
3.893 0.000 0.001
0.000 3.893 0.000
0.000 0.000 13.029
ATOMIC_POSITIONS crystal
Ca 0.088 0.061 0.617
Ca 0.088 0.061 0.322
Tl 0.588 0.561 0.463
Tl 0.588 0.561 0.769
La 0.588 0.561 0.112
La 0.088 0.061 0.921
```

Results
- Crystal system: tetragonal
- Formation enthalpy at 0 K: -267 meV per atom
- Total magnetization: 0.00 μB/f.u.
- N(E_F): 6.24 states/eV per cell

=====

Question: Which value of N(E_F) does entry 3 give?
Answer: 6.24 states/eV per cell